Entry 1:
A PBEsol-optimized structure of Hf2Be2Co. Source: Alexandria, functional meta-GGA SCAN.

Cell lengths 3.526, 6.204, 6.204 Å; angles 90.00, 90.00, 90.00 degrees
Fractional positions:
Co  0.000  0.000  0.000
Co  0.000  0.500  0.500
Hf  0.500  0.178  0.678
Hf  0.500  0.678  0.822
Hf  0.500  0.822  0.322
Hf  0.500  0.322  0.178
Be  0.000  0.378  0.878
Be  0.000  0.878  0.622
Be  0.000  0.622  0.122
Be  0.000  0.122  0.378

Computed properties:
- total energy (eV/atom) = -30.464
- energy of formation (eV per atom) = -0.192
- V (Å³/atom) = 13.572

***

Entry 2:
A PBEsol-optimized structure of HfBe3Co. Source: Alexandria, functional meta-GGA SCAN.

Cell lengths 3.870, 3.870, 3.870 Å; angles 90.00, 90.00, 90.00 degrees
Fractional positions:
Co  0.000  0.000  0.000
Hf  0.500  0.500  0.500
Be  0.000  0.500  0.000
Be  0.000  0.000  0.500
Be  0.500  0.000  0.000

Computed properties:
- total energy (eV/atom) = -18.596
- energy of formation (eV per atom) = 0.012
- V (Å³/atom) = 11.590

***

Entry 3:
A PBEsol-optimized structure of Hf6Be15Co8. Source: Alexandria, functional meta-GGA SCAN.

Cell lengths 7.643, 7.643, 7.643 Å; angles 60.00, 60.00, 60.00 degrees
Fractional positions:
Hf  0.711  0.289  0.289
Hf  0.289  0.711  0.711
Hf  0.711  0.289  0.711
Hf  0.289  0.711  0.289
Hf  0.711  0.711  0.289
Hf  0.289  0.289  0.711
Be  0.034  0.322  0.322
Be  0.966  0.678  0.678
Be  0.322  0.034  0.322
Be  0.322  0.322  0.034
Be  0.678  0.966  0.678
Be  0.678  0.678  0.966
Be  0.322  0.322  0.322
Be  0.678  0.678  0.678
Be  0.500  0.000  0.000
Be  0.000  0.500  0.500
Be  0.500  0.000  0.500
Be  0.000  0.500  0.000
Be  0.500  0.500  0.000
Be  0.000  0.000  0.500
Be  0.000  0.000  0.000
Co  0.627  0.124  0.124
Co  0.373  0.876  0.876
Co  0.124  0.627  0.124
Co  0.124  0.124  0.627
Co  0.876  0.373  0.876
Co  0.876  0.876  0.373
Co  0.124  0.124  0.124
Co  0.876  0.876  0.876

Computed properties:
- total energy (eV/atom) = -20.291
- energy of formation (eV per atom) = -0.298
- V (Å³/atom) = 10.885

***

Entry 4:
A PBEsol-optimized structure of Hf3BeCo. Source: Alexandria, functional meta-GGA SCAN.

Cell lengths 4.662, 4.662, 4.662 Å; angles 90.00, 90.00, 90.00 degrees
Fractional positions:
Co  0.000  0.000  0.000
Hf  0.000  0.500  0.000
Hf  0.000  0.000  0.500
Hf  0.500  0.000  0.000
Be  0.500  0.500  0.500

Computed properties:
- total energy (eV/atom) = -41.437
- energy of formation (eV per atom) = 0.498
- V (Å³/atom) = 20.261

***

Entry 5:
A PBEsol-optimized structure of Hf2BeZnCo. Source: Alexandria, functional meta-GGA SCAN.

Cell lengths 3.982, 4.654, 4.654 Å; angles 90.00, 90.00, 90.00 degrees
Fractional positions:
Co  0.000  0.000  0.000
Zn  0.500  0.500  0.500
Hf  0.000  0.000  0.500
Hf  0.000  0.500  0.000
Be  0.500  0.000  0.000

Computed properties:
- total energy (eV/atom) = -31.856
- energy of formation (eV per atom) = 0.248
- V (Å³/atom) = 17.251

***

Entry 6:
A PBEsol-optimized structure of BeCo2Hg. Source: Alexandria, functional meta-GGA SCAN.

Cell lengths 3.575, 3.575, 3.799 Å; angles 90.00, 90.00, 90.00 degrees
Fractional positions:
Be  0.000  0.000  0.500
Co  0.000  0.500  0.000
Co  0.500  0.000  0.000
Hg  0.500  0.500  0.500

Computed properties:
- total energy (eV/atom) = -26.551
- polymorph energy (0 for the lowest one) (meV/atom) = 0
- energy of formation (eV per atom) = 0.231
- V (Å³/atom) = 12.139

***

> Among the records above, which one has the lowest energy of formation?

Hf6Be15Co8

***

> What is the V in the second record?

11.590 Å³/atom